This record from the Alexandria database describes an optimized crystal structure of LiCu2HPd. The functional is PBE.

Output
The density of states at the Fermi level is 0.21 states/eV/atom. For the total energy, the calculation gives -19.3 eV/cell.

Unit cell a=3.771 b=3.771 c=3.849 alpha=90.00 beta=90.00 gamma=90.00
Space group P4/mmm (No. 123)
Symmetry-distinct sites (fractional):
Li1 0.000 0.000 0.000 x1
Cu1 0.000 0.500 0.500 x2
H1 0.500 0.500 0.500 x1
Pd1 0.500 0.500 0.000 x1



This record from the Alexandria database describes an optimized crystal structure of POsC. The functional is PBE.

Output
The density of states at the Fermi level is 0.32 states/eV/atom. For the total energy, the calculation gives -48.9 eV/cell. Its energy of formation from the pure elements is 0.469 eV per atom.

Unit cell a=6.828 b=2.895 c=4.617 alpha=90.00 beta=120.80 gamma=90.00
Space group Cm (No. 8)
Symmetry-distinct sites (fractional):
P1 0.000 0.000 0.000 x2
Os1 0.343 0.000 0.531 x2
C1 0.484 0.500 0.373 x2



This record from the Alexandria database describes an optimized crystal structure of Ca3YU3N8. The functional is PBE.

Output
As for the formation energy from raw total energies: -1.24 eV per atom. The density of states at the Fermi level is 0.61 states/eV/atom. For the total energy, the calculation gives -394.7 eV/cell.

Unit cell a=6.9566 b=6.9566 c=17.0512 alpha=90.00 beta=90.00 gamma=120.00
Space group R-3m (No. 166, hexagonal axes)
Symmetry-distinct sites (fractional):
Ca1 0.0000 0.5000 0.0000 x9
Y1 0.0000 0.0000 0.5000 x3
U1 0.0000 0.5000 0.5000 x9
N1 0.0000 0.0000 0.2416 x6
N2 0.0135 0.5067 0.7691 x18



This record from the Alexandria database describes an optimized crystal structure of AcAl3Ga3. The functional is PBE.

Output
The density of states at the Fermi level is 0.37 states/eV/atom. For the total energy, the calculation gives -51.5 eV/cell. Its energy of formation from the pure elements is -0.192 eV per atom.

Unit cell a=8.163 b=4.352 c=10.388 alpha=90.00 beta=111.64 gamma=90.00
Space group P2_1/m (No. 11)
Symmetry-distinct sites (fractional):
Ac1 0.138 0.250 0.279 x2
Al1 0.202 0.750 0.059 x2
Al2 0.206 0.250 0.703 x2
Al3 0.422 0.750 0.541 x2
Ga1 0.105 0.750 0.530 x2
Ga2 0.131 0.250 0.927 x2
Ga3 0.475 0.750 0.292 x2



This record from the Alexandria database describes an optimized crystal structure of NiBiSbI2. The functional is PBE.

Output
As for the formation energy from raw total energies: 0.99 eV per atom. The density of states at the Fermi level is 1.50 states/eV/atom. For the total energy, the calculation gives -11.9 eV/cell.

Unit cell a=6.092 b=6.092 c=6.037 alpha=90.00 beta=90.00 gamma=90.00
Space group P4/mmm (No. 123)
Symmetry-distinct sites (fractional):
Ni1 0.000 0.000 0.000 x1
Bi1 0.500 0.500 0.500 x1
Sb1 0.500 0.500 0.000 x1
I1 0.000 0.500 0.500 x2



This record from the Alexandria database describes an optimized crystal structure of BaPrSn2. The functional is PBE.

Output
The density of states at the Fermi level is 1.18 states/eV/atom. For the total energy, the calculation gives -49.7 eV/cell. Its energy of formation from the pure elements is -0.467 eV per atom.

Unit cell a=5.2880 b=5.2880 c=18.5276 alpha=90.00 beta=90.00 gamma=120.00
Space group R-3m (No. 166, hexagonal axes)
Symmetry-distinct sites (fractional):
Ba1 0.0000 0.0000 0.0000 x3
Pr1 0.0000 0.0000 0.5000 x3
Sn1 0.0000 0.0000 0.2296 x6